1.
# Th6MnBi3 (PBE, relaxed)
# Fermi-level density of states: 1.1133 states/eV/atom
data_Th6MnBi3
_cell_length_a 6.321
_cell_length_b 8.932
_cell_length_c 12.649
_cell_angle_alpha 90.00
_cell_angle_beta 118.79
_cell_angle_gamma 90.00
_symmetry_space_group_name_H-M 'P 1 21/c 1'
_symmetry_Int_Tables_number 14
loop_
_symmetry_equiv_pos_as_xyz
'x,y,z'
'-x,-y,-z'
'-x,y+1/2,-z+1/2'
'x,-y+1/2,z+1/2'
loop_
_atom_site_label
_atom_site_type_symbol
_atom_site_fract_x
_atom_site_fract_y
_atom_site_fract_z
Th1 Th 0.057 0.158 0.444
Th2 Th 0.371 0.698 0.449
Th3 Th 0.410 0.029 0.281
Mn1 Mn 0.500 0.000 0.500
Bi1 Bi 0.000 0.000 0.000
Bi2 Bi 0.144 0.125 0.751

2.
# AlMoP2Au (PBE, relaxed)
# Relative energy among the computed polymorphs: 98 meV/atom
# Fermi-level density of states: 0.7234 states/eV/atom
data_AlMoP2Au
_cell_length_a 4.664
_cell_length_b 4.664
_cell_length_c 5.333
_cell_angle_alpha 90.00
_cell_angle_beta 90.00
_cell_angle_gamma 90.00
_symmetry_space_group_name_H-M 'P 4/m m m'
_symmetry_Int_Tables_number 123
_symmetry_space_group_name_Hall '-P 4 2'
loop_
_atom_site_label
_atom_site_type_symbol
_atom_site_fract_x
_atom_site_fract_y
_atom_site_fract_z
Al1 Al 0.000 0.000 0.000
Mo1 Mo 0.500 0.500 0.000
P1 P 0.000 0.500 0.500
Au1 Au 0.500 0.500 0.500

3.
# Ac2CeHg (PBE, relaxed)
# Relative energy among the computed polymorphs: 0 meV/atom
# Fermi-level density of states: 2.0436 states/eV/atom
data_Ac2CeHg
_cell_length_a 3.922
_cell_length_b 3.922
_cell_length_c 9.289
_cell_angle_alpha 90.00
_cell_angle_beta 90.00
_cell_angle_gamma 90.00
_symmetry_space_group_name_H-M 'P 4/m m m'
_symmetry_Int_Tables_number 123
_symmetry_space_group_name_Hall '-P 4 2'
loop_
_atom_site_label
_atom_site_type_symbol
_atom_site_fract_x
_atom_site_fract_y
_atom_site_fract_z
Ac1 Ac 0.000 0.000 0.228
Ce1 Ce 0.500 0.500 0.500
Hg1 Hg 0.500 0.500 0.000

4.
# CdNiAg (PBE, relaxed)
# Relative energy among the computed polymorphs: 42 meV/atom
# Fermi-level density of states: 0.3908 states/eV/atom
data_CdNiAg
_cell_length_a 2.962
_cell_length_b 3.691
_cell_length_c 8.954
_cell_angle_alpha 90.00
_cell_angle_beta 90.00
_cell_angle_gamma 90.00
_symmetry_space_group_name_H-M 'I m m 2'
_symmetry_Int_Tables_number 44
loop_
_symmetry_equiv_pos_as_xyz
'x,y,z'
'-x,-y,z'
'-x,y,z'
'x,-y,z'
'x+1/2,y+1/2,z+1/2'
'-x+1/2,-y+1/2,z+1/2'
'-x+1/2,y+1/2,z+1/2'
'x+1/2,-y+1/2,z+1/2'
loop_
_atom_site_label
_atom_site_type_symbol
_atom_site_fract_x
_atom_site_fract_y
_atom_site_fract_z
Cd1 Cd 0.000 0.000 0.000
Ni1 Ni 0.000 0.000 0.342
Ag1 Ag 0.000 0.000 0.684

The evaluated energy relative to the elements for the records listed, in turn: -0.2249; 1.4183; -0.1359; 0.1140 eV/atom.
The evaluated final energy for the records listed, in turn: -6.76; -4.32; -3.75; -3.07 eV per atom.